First-principles (PBEsol) data for a geometry-optimized LiIr2Os structure, as listed in the Alexandria database.

Cell lengths 4.4378, 4.4378, 2.7585 Å; angles 90.00, 90.00, 90.00 degrees
Element x y z (fractional)
Li1 0.0000 0.0000 0.0000
Ir1 0.0000 0.5000 0.5000
Ir2 0.5000 0.0000 0.5000
Os1 0.5000 0.5000 0.0000

Summary:
ΔH_f (0 K) = 0.211 eV/atom
raw total energy = -8.246 eV/atom
spin magnetization = 0.00 μB per atom
energy above the lowest structure with this stoichiometry = 136.1 meV/atom